<A>
# PBE Nd2AsN, relaxed
# SG: R-3m, No. 166
data_Nd2AsN
_cell_length_a 3.905
_cell_length_b 3.905
_cell_length_c 7.016
_cell_angle_alpha 73.84
_cell_angle_beta 73.84
_cell_angle_gamma 60.00
_symmetry_space_group_name_H-M 'P 1'
_symmetry_Int_Tables_number 1
_symmetry_space_group_name_Hall 'P 1'
loop_
_atom_site_label
_atom_site_fract_x
_atom_site_fract_y
_atom_site_fract_z
Nd1 0.738 0.738 0.787
Nd2 0.262 0.262 0.213
As1 0.500 0.500 0.500
N1 0.000 0.000 0.000

---

<B>
# PBE Nd2AsN, relaxed
# SG: R3m, No. 160
data_Nd2AsN
_cell_length_a 3.838
_cell_length_b 3.838
_cell_length_c 7.306
_cell_angle_alpha 74.77
_cell_angle_beta 74.77
_cell_angle_gamma 60.00
_symmetry_space_group_name_H-M 'P 1'
_symmetry_Int_Tables_number 1
_symmetry_space_group_name_Hall 'P 1'
loop_
_atom_site_label
_atom_site_fract_x
_atom_site_fract_y
_atom_site_fract_z
As1 0.667 0.667 0.000
Nd1 0.243 0.243 0.271
N1 0.496 0.496 0.512
Nd2 0.094 0.094 0.717

---

Which structure is the most stable? The one labeled <A>.

---

<A>
# PBE NiAs2N2, relaxed
# SG: P4/mbm, No. 127
data_NiAs2N2
_cell_length_a 6.512
_cell_length_b 6.512
_cell_length_c 3.029
_cell_angle_alpha 90.00
_cell_angle_beta 90.00
_cell_angle_gamma 90.00
_symmetry_space_group_name_H-M 'P 1'
_symmetry_Int_Tables_number 1
_symmetry_space_group_name_Hall 'P 1'
loop_
_atom_site_label
_atom_site_fract_x
_atom_site_fract_y
_atom_site_fract_z
N1 0.197 0.303 0.000
N2 0.803 0.697 0.000
As1 0.176 0.676 0.500
As2 0.824 0.324 0.500
N3 0.697 0.197 0.000
Ni1 0.500 0.500 0.000
N4 0.303 0.803 0.000
As3 0.676 0.824 0.500
As4 0.324 0.176 0.500
Ni2 0.000 0.000 0.000

---

<B>
# PBE NiAs2N2, relaxed
# SG: C2/m, No. 12
data_NiAs2N2
_cell_length_a 3.761
_cell_length_b 3.761
_cell_length_c 22.098
_cell_angle_alpha 39.44
_cell_angle_beta 39.44
_cell_angle_gamma 61.41
_symmetry_space_group_name_H-M 'P 1'
_symmetry_Int_Tables_number 1
_symmetry_space_group_name_Hall 'P 1'
loop_
_atom_site_label
_atom_site_fract_x
_atom_site_fract_y
_atom_site_fract_z
As1 0.634 0.634 0.904
N1 0.423 0.423 0.543
N2 0.577 0.577 0.457
As2 0.366 0.366 0.096
Ni1 0.000 0.000 0.000

---

<C>
# PBE NiAs2N2, relaxed
# SG: I4/mmm, No. 139
data_NiAs2N2
_cell_length_a 4.468
_cell_length_b 4.468
_cell_length_c 4.625
_cell_angle_alpha 61.12
_cell_angle_beta 61.12
_cell_angle_gamma 90.00
_symmetry_space_group_name_H-M 'P 1'
_symmetry_Int_Tables_number 1
_symmetry_space_group_name_Hall 'P 1'
loop_
_atom_site_label
_atom_site_fract_x
_atom_site_fract_y
_atom_site_fract_z
As1 0.750 0.250 0.500
N1 0.586 0.586 0.828
N2 0.414 0.414 0.172
Ni1 0.000 0.000 0.000
As2 0.250 0.750 0.500

---

Which structure is the most stable? The one labeled <B>.

---

<A>
# PBE NiAs3N, relaxed
# SG: Pm-3m, No. 221
data_NiAs3N
_cell_length_a 4.258
_cell_length_b 4.258
_cell_length_c 4.258
_cell_angle_alpha 90.00
_cell_angle_beta 90.00
_cell_angle_gamma 90.00
_symmetry_space_group_name_H-M 'P 1'
_symmetry_Int_Tables_number 1
_symmetry_space_group_name_Hall 'P 1'
loop_
_atom_site_label
_atom_site_fract_x
_atom_site_fract_y
_atom_site_fract_z
N1 0.000 0.000 0.000
As1 0.000 0.000 0.500
Ni1 0.500 0.500 0.500
As2 0.500 0.000 0.000
As3 0.000 0.500 0.000

---

<B>
# PBE NiAs3N, relaxed
# SG: Pm-3m, No. 221
data_NiAs3N
_cell_length_a 4.515
_cell_length_b 4.515
_cell_length_c 4.515
_cell_angle_alpha 90.00
_cell_angle_beta 90.00
_cell_angle_gamma 90.00
_symmetry_space_group_name_H-M 'P 1'
_symmetry_Int_Tables_number 1
_symmetry_space_group_name_Hall 'P 1'
loop_
_atom_site_label
_atom_site_fract_x
_atom_site_fract_y
_atom_site_fract_z
N1 0.500 0.500 0.500
As1 0.000 0.500 0.000
As2 0.500 0.000 0.000
As3 0.000 0.000 0.500
Ni1 0.000 0.000 0.000

---

Which structure is the most stable? The one labeled <A>.

---

<A>
# PBE Ni3AsN, relaxed
# SG: Pm-3m, No. 221
data_Ni3AsN
_cell_length_a 3.832
_cell_length_b 3.832
_cell_length_c 3.832
_cell_angle_alpha 90.00
_cell_angle_beta 90.00
_cell_angle_gamma 90.00
_symmetry_space_group_name_H-M 'P 1'
_symmetry_Int_Tables_number 1
_symmetry_space_group_name_Hall 'P 1'
loop_
_atom_site_label
_atom_site_fract_x
_atom_site_fract_y
_atom_site_fract_z
Ni1 0.000 0.000 0.500
Ni2 0.000 0.500 0.000
Ni3 0.500 0.000 0.000
As1 0.500 0.500 0.500
N1 0.000 0.000 0.000

---

<B>
# PBE Ni3AsN, relaxed
# SG: Pm-3m, No. 221
data_Ni3AsN
_cell_length_a 4.316
_cell_length_b 4.316
_cell_length_c 4.316
_cell_angle_alpha 90.00
_cell_angle_beta 90.00
_cell_angle_gamma 90.00
_symmetry_space_group_name_H-M 'P 1'
_symmetry_Int_Tables_number 1
_symmetry_space_group_name_Hall 'P 1'
loop_
_atom_site_label
_atom_site_fract_x
_atom_site_fract_y
_atom_site_fract_z
N1 0.500 0.500 0.500
Ni1 0.000 0.000 0.500
Ni2 0.000 0.500 0.000
Ni3 0.500 0.000 0.000
As1 0.000 0.000 0.000

---

Which structure is the most stable? The one labeled <A>.

---

<A>
# PBE Ni2As2N, relaxed
# SG: P4/mbm, No. 127
data_Ni2As2N
_cell_length_a 6.141
_cell_length_b 6.141
_cell_length_c 3.547
_cell_angle_alpha 90.00
_cell_angle_beta 90.00
_cell_angle_gamma 90.00
_symmetry_space_group_name_H-M 'P 1'
_symmetry_Int_Tables_number 1
_symmetry_space_group_name_Hall 'P 1'
loop_
_atom_site_label
_atom_site_fract_x
_atom_site_fract_y
_atom_site_fract_z
As1 0.820 0.680 0.000
As2 0.180 0.320 0.000
Ni1 0.135 0.635 0.500
As3 0.680 0.180 0.000
Ni2 0.865 0.365 0.500
As4 0.320 0.820 0.000
Ni3 0.365 0.135 0.500
N1 0.500 0.500 0.000
N2 0.000 0.000 0.000
Ni4 0.635 0.865 0.500

---

<B>
# PBE Ni2As2N, relaxed
# SG: I4/mmm, No. 139
data_Ni2As2N
_cell_length_a 3.380
_cell_length_b 3.380
_cell_length_c 6.378
_cell_angle_alpha 74.63
_cell_angle_beta 74.63
_cell_angle_gamma 90.00
_symmetry_space_group_name_H-M 'P 1'
_symmetry_Int_Tables_number 1
_symmetry_space_group_name_Hall 'P 1'
loop_
_atom_site_label
_atom_site_fract_x
_atom_site_fract_y
_atom_site_fract_z
N1 0.000 0.000 0.000
As1 0.394 0.394 0.211
As2 0.606 0.606 0.789
Ni1 0.750 0.250 0.500
Ni2 0.250 0.750 0.500

---

Which structure is the most stable? The one labeled <A>.

---

<A>
# PBE Ni2AsN, relaxed
# SG: Fm-3m, No. 225
data_Ni2AsN
_cell_length_a 3.942
_cell_length_b 3.942
_cell_length_c 3.942
_cell_angle_alpha 60.00
_cell_angle_beta 60.00
_cell_angle_gamma 60.00
_symmetry_space_group_name_H-M 'P 1'
_symmetry_Int_Tables_number 1
_symmetry_space_group_name_Hall 'P 1'
loop_
_atom_site_label
_atom_site_fract_x
_atom_site_fract_y
_atom_site_fract_z
Ni1 0.750 0.750 0.750
Ni2 0.250 0.250 0.250
As1 0.500 0.500 0.500
N1 0.000 0.000 0.000

---

<B>
# PBE Ni2AsN, relaxed
# SG: I-42d, No. 122
data_Ni2AsN
_cell_length_a 4.504
_cell_length_b 4.504
_cell_length_c 6.143
_cell_angle_alpha 68.49
_cell_angle_beta 68.49
_cell_angle_gamma 90.00
_symmetry_space_group_name_H-M 'P 1'
_symmetry_Int_Tables_number 1
_symmetry_space_group_name_Hall 'P 1'
loop_
_atom_site_label
_atom_site_fract_x
_atom_site_fract_y
_atom_site_fract_z
As1 0.750 0.250 0.500
Ni1 0.375 0.488 0.750
As2 0.000 0.000 0.000
N1 0.500 0.500 0.000
Ni2 0.512 0.125 0.250
Ni3 0.238 0.625 0.250
Ni4 0.875 0.762 0.750
N2 0.250 0.750 0.500

---

Which structure is the most stable? The one labeled <B>.

---

<A>
# PBE NiTe2AsN, relaxed
# SG: P4/mmm, No. 123
data_NiTe2AsN
_cell_length_a 5.497
_cell_length_b 5.497
_cell_length_c 3.539
_cell_angle_alpha 90.00
_cell_angle_beta 90.00
_cell_angle_gamma 90.00
_symmetry_space_group_name_H-M 'P 1'
_symmetry_Int_Tables_number 1
_symmetry_space_group_name_Hall 'P 1'
loop_
_atom_site_label
_atom_site_fract_x
_atom_site_fract_y
_atom_site_fract_z
Te1 0.500 0.000 0.000
N1 0.000 0.000 0.500
Te2 0.000 0.500 0.000
As1 0.000 0.000 0.000
Ni1 0.500 0.500 0.500

---

<B>
# PBE NiTe2AsN, relaxed
# SG: P4/mmm, No. 123
data_NiTe2AsN
_cell_length_a 5.310
_cell_length_b 5.310
_cell_length_c 3.476
_cell_angle_alpha 90.00
_cell_angle_beta 90.00
_cell_angle_gamma 90.00
_symmetry_space_group_name_H-M 'P 1'
_symmetry_Int_Tables_number 1
_symmetry_space_group_name_Hall 'P 1'
loop_
_atom_site_label
_atom_site_fract_x
_atom_site_fract_y
_atom_site_fract_z
N1 0.000 0.000 0.500
Te1 0.000 0.500 0.000
Ni1 0.000 0.000 0.000
Te2 0.500 0.000 0.000
As1 0.500 0.500 0.500

---

Which structure is the most stable? The one labeled <B>.

---

<A>
# PBE NpAsN, relaxed
# SG: Fddd, No. 70
data_NpAsN
_cell_length_a 6.696
_cell_length_b 6.696
_cell_length_c 7.610
_cell_angle_alpha 119.31
_cell_angle_beta 119.31
_cell_angle_gamma 83.54
_symmetry_space_group_name_H-M 'P 1'
_symmetry_Int_Tables_number 1
_symmetry_space_group_name_Hall 'P 1'
loop_
_atom_site_label
_atom_site_fract_x
_atom_site_fract_y
_atom_site_fract_z
Np1 0.696 0.304 0.000
As1 0.892 0.892 0.785
As2 0.142 0.642 0.285
N1 0.625 0.375 0.250
As3 0.358 0.858 0.715
N2 0.625 0.875 0.250
N3 0.625 0.375 0.750
Np2 0.554 0.446 0.500
Np3 0.304 0.696 0.000
Np4 0.946 0.054 0.500
N4 0.125 0.375 0.750
As4 0.108 0.108 0.215

---

<B>
# PBE NpAsN, relaxed
# SG: P4/nmm, No. 129
data_NpAsN
_cell_length_a 3.813
_cell_length_b 3.813
_cell_length_c 7.234
_cell_angle_alpha 89.99
_cell_angle_beta 90.01
_cell_angle_gamma 90.00
_symmetry_space_group_name_H-M 'P 1'
_symmetry_Int_Tables_number 1
_symmetry_space_group_name_Hall 'P 1'
loop_
_atom_site_label
_atom_site_fract_x
_atom_site_fract_y
_atom_site_fract_z
As1 0.250 0.750 0.935
As2 0.750 0.250 0.065
N1 0.250 0.250 0.500
N2 0.750 0.750 0.500
Np1 0.250 0.750 0.342
Np2 0.750 0.250 0.658

---

<C>
# PBE NpAsN, relaxed
# SG: P-6m2, No. 187
data_NpAsN
_cell_length_a 4.170
_cell_length_b 3.720
_cell_length_c 3.720
_cell_angle_alpha 120.00
_cell_angle_beta 90.00
_cell_angle_gamma 90.00
_symmetry_space_group_name_H-M 'P 1'
_symmetry_Int_Tables_number 1
_symmetry_space_group_name_Hall 'P 1'
loop_
_atom_site_label
_atom_site_fract_x
_atom_site_fract_y
_atom_site_fract_z
Np1 0.167 0.667 0.333
N1 0.167 0.000 0.000
As1 0.667 0.333 0.667

---

Which structure is the most stable? The one labeled <B>.

---

<A>
# PBE Np2AsN, relaxed
# SG: C2/m, No. 12
data_Np2AsN
_cell_length_a 4.323
_cell_length_b 4.323
_cell_length_c 8.633
_cell_angle_alpha 92.94
_cell_angle_beta 92.94
_cell_angle_gamma 90.11
_symmetry_space_group_name_H-M 'P 1'
_symmetry_Int_Tables_number 1
_symmetry_space_group_name_Hall 'P 1'
loop_
_atom_site_label
_atom_site_fract_x
_atom_site_fract_y
_atom_site_fract_z
N1 0.289 0.289 0.400
As1 0.760 0.760 0.203
As2 0.240 0.240 0.797
N2 0.711 0.711 0.600
Np1 0.223 0.777 0.500
Np2 0.777 0.223 0.500
Np3 0.748 0.748 0.855
Np4 0.252 0.252 0.145

---

<B>
# PBE Np2AsN, relaxed
# SG: R3m, No. 160
data_Np2AsN
_cell_length_a 3.656
_cell_length_b 3.656
_cell_length_c 6.980
_cell_angle_alpha 74.82
_cell_angle_beta 74.82
_cell_angle_gamma 60.00
_symmetry_space_group_name_H-M 'P 1'
_symmetry_Int_Tables_number 1
_symmetry_space_group_name_Hall 'P 1'
loop_
_atom_site_label
_atom_site_fract_x
_atom_site_fract_y
_atom_site_fract_z
N1 0.495 0.495 0.516
Np1 0.238 0.238 0.286
Np2 0.098 0.098 0.705
As1 0.669 0.669 0.993

---

Which structure is the most stable? The one labeled <A>.

---

<A>
# PBE Np2AsN, relaxed
# SG: P4/mmm, No. 123
data_Np2AsN
_cell_length_a 3.157
_cell_length_b 3.157
_cell_length_c 6.908
_cell_angle_alpha 90.00
_cell_angle_beta 90.00
_cell_angle_gamma 90.00
_symmetry_space_group_name_H-M 'P 1'
_symmetry_Int_Tables_number 1
_symmetry_space_group_name_Hall 'P 1'
loop_
_atom_site_label
_atom_site_fract_x
_atom_site_fract_y
_atom_site_fract_z
As1 0.500 0.500 0.000
Np1 0.000 0.000 0.293
N1 0.500 0.500 0.500
Np2 0.000 0.000 0.707

---

<B>
# PBE Np2AsN, relaxed
# SG: R-3m, No. 166
data_Np2AsN
_cell_length_a 3.718
_cell_length_b 3.718
_cell_length_c 6.684
_cell_angle_alpha 73.85
_cell_angle_beta 73.85
_cell_angle_gamma 60.00
_symmetry_space_group_name_H-M 'P 1'
_symmetry_Int_Tables_number 1
_symmetry_space_group_name_Hall 'P 1'
loop_
_atom_site_label
_atom_site_fract_x
_atom_site_fract_y
_atom_site_fract_z
Np1 0.766 0.766 0.701
N1 0.500 0.500 0.500
As1 0.000 0.000 0.000
Np2 0.234 0.234 0.299

---

Which structure is the most stable? The one labeled <B>.

---

<A>
# PBE AsOsSN2, relaxed
# SG: P4/mmm, No. 123
data_AsOsSN2
_cell_length_a 3.790
_cell_length_b 3.790
_cell_length_c 5.271
_cell_angle_alpha 90.00
_cell_angle_beta 90.00
_cell_angle_gamma 90.00
_symmetry_space_group_name_H-M 'P 1'
_symmetry_Int_Tables_number 1
_symmetry_space_group_name_Hall 'P 1'
loop_
_atom_site_label
_atom_site_fract_x
_atom_site_fract_y
_atom_site_fract_z
As1 0.500 0.500 0.500
N1 0.000 0.500 0.000
Os1 0.000 0.000 0.000
N2 0.500 0.000 0.000
S1 0.000 0.000 0.500

---

<B>
# PBE AsOsSN2, relaxed
# SG: P4/mmm, No. 123
data_AsOsSN2
_cell_length_a 3.709
_cell_length_b 3.709
_cell_length_c 4.644
_cell_angle_alpha 90.00
_cell_angle_beta 90.00
_cell_angle_gamma 90.00
_symmetry_space_group_name_H-M 'P 1'
_symmetry_Int_Tables_number 1
_symmetry_space_group_name_Hall 'P 1'
loop_
_atom_site_label
_atom_site_fract_x
_atom_site_fract_y
_atom_site_fract_z
Os1 0.500 0.500 0.500
N1 0.500 0.000 0.000
As1 0.000 0.000 0.000
S1 0.000 0.000 0.500
N2 0.000 0.500 0.000

---

Which structure is the most stable? The one labeled <A>.

---

<A>
# PBE AsPSN2, relaxed
# SG: P4/mmm, No. 123
data_AsPSN2
_cell_length_a 3.707
_cell_length_b 3.707
_cell_length_c 4.920
_cell_angle_alpha 90.00
_cell_angle_beta 90.00
_cell_angle_gamma 90.00
_symmetry_space_group_name_H-M 'P 1'
_symmetry_Int_Tables_number 1
_symmetry_space_group_name_Hall 'P 1'
loop_
_atom_site_label
_atom_site_fract_x
_atom_site_fract_y
_atom_site_fract_z
P1 0.500 0.500 0.500
N1 0.000 0.500 0.000
S1 0.000 0.000 0.500
As1 0.000 0.000 0.000
N2 0.500 0.000 0.000

---

<B>
# PBE AsPSN2, relaxed
# SG: P4/mmm, No. 123
data_AsPSN2
_cell_length_a 3.540
_cell_length_b 3.540
_cell_length_c 4.632
_cell_angle_alpha 90.00
_cell_angle_beta 90.00
_cell_angle_gamma 90.00
_symmetry_space_group_name_H-M 'P 1'
_symmetry_Int_Tables_number 1
_symmetry_space_group_name_Hall 'P 1'
loop_
_atom_site_label
_atom_site_fract_x
_atom_site_fract_y
_atom_site_fract_z
N1 0.500 0.000 0.000
S1 0.000 0.000 0.500
P1 0.000 0.000 0.000
N2 0.000 0.500 0.000
As1 0.500 0.500 0.500

---

Which structure is the most stable? The one labeled <B>.